# PBE-GGA ZrFeSb2I, relaxed
# - Volume: 176.65 Å³/f.u.
# - Final energy: -0.3378 Ry per atom
# - ΔE to the lowest computed polymorph: 0.190 eV per atom
data_ZrFeSb2I
_cell_length_a 5.594
_cell_length_b 5.594
_cell_length_c 5.646
_cell_angle_alpha 90.00
_cell_angle_beta 90.00
_cell_angle_gamma 90.00
_symmetry_space_group_name_H-M 'P 4/m m m'
_symmetry_Int_Tables_number 123
_symmetry_space_group_name_Hall '-P 4 2'
loop_
_atom_site_label
_atom_site_type_symbol
_atom_site_fract_x
_atom_site_fract_y
_atom_site_fract_z
Zr1 Zr 0.000 0.000 0.000
Fe1 Fe 0.500 0.500 0.500
Sb1 Sb 0.000 0.500 0.000
I1 I 0.000 0.000 0.500



# PBE-GGA ZrFeSbI2, relaxed
# - Volume: 184.07 Å³/f.u.
# - Final energy: -0.3137 Ry per atom
# - ΔE to the lowest computed polymorph: 0.000 eV per atom
data_ZrFeSbI2
_cell_length_a 5.642
_cell_length_b 5.642
_cell_length_c 5.783
_cell_angle_alpha 90.00
_cell_angle_beta 90.00
_cell_angle_gamma 90.00
_symmetry_space_group_name_H-M 'P 4/m m m'
_symmetry_Int_Tables_number 123
_symmetry_space_group_name_Hall '-P 4 2'
loop_
_atom_site_label
_atom_site_type_symbol
_atom_site_fract_x
_atom_site_fract_y
_atom_site_fract_z
Zr1 Zr 0.000 0.000 0.000
Fe1 Fe 0.500 0.500 0.500
Sb1 Sb 0.000 0.000 0.500
I1 I 0.000 0.500 0.000



# PBE-GGA ScFe2I8, relaxed
# - Volume: 505.14 Å³/f.u.
# - Final energy: -0.2775 Ry per atom
data_ScFe2I8
_cell_length_a 13.286
_cell_length_b 11.142
_cell_length_c 6.833
_cell_angle_alpha 90.00
_cell_angle_beta 92.79
_cell_angle_gamma 90.00
_symmetry_space_group_name_H-M 'C 1 2/m 1'
_symmetry_Int_Tables_number 12
loop_
_symmetry_equiv_pos_as_xyz
'x,y,z'
'-x,-y,-z'
'-x,y,-z'
'x,-y,z'
'x+1/2,y+1/2,z'
'-x+1/2,-y+1/2,-z'
'-x+1/2,y+1/2,-z'
'x+1/2,-y+1/2,z'
loop_
_atom_site_label
_atom_site_type_symbol
_atom_site_fract_x
_atom_site_fract_y
_atom_site_fract_z
Sc1 Sc 0.000 0.000 0.000
Fe1 Fe 0.186 0.000 0.648
I1 I 0.091 0.187 0.775
I2 I 0.132 0.500 0.241
I3 I 0.183 0.000 0.265



# PBE-GGA ScFeI2, relaxed
# - Volume: 93.53 Å³/f.u.
# - Final energy: -0.3156 Ry per atom
# - ΔE to the lowest computed polymorph: 0.027 eV per atom
data_ScFeI2
_cell_length_a 7.205
_cell_length_b 7.205
_cell_length_c 7.205
_cell_angle_alpha 90.00
_cell_angle_beta 90.00
_cell_angle_gamma 90.00
_symmetry_space_group_name_H-M 'F m -3 m'
_symmetry_Int_Tables_number 225
_symmetry_space_group_name_Hall '-F 4 2 3'
loop_
_atom_site_label
_atom_site_type_symbol
_atom_site_fract_x
_atom_site_fract_y
_atom_site_fract_z
Sc1 Sc 0.000 0.000 0.000
Fe1 Fe 0.000 0.000 0.500
I1 I 0.250 0.250 0.250



Among the records above, which one has the lowest final energy?
ZrFeSb2I